# Nd4SmErSe8 GGA-PBE optimized geometry
# - V (Å³ per cell) = 1364
# - formation energy from raw total energies (eV per atom) = -1.723
data_Nd4SmErSe8
_cell_length_a 8.6352
_cell_length_b 8.6352
_cell_length_c 21.1230
_cell_angle_alpha 90.00
_cell_angle_beta 90.00
_cell_angle_gamma 120.00
_space_group_name_H-M_alt 'R 3 m'
_space_group_IT_number 160
_space_group_name_Hall 'R 3 -2"'
loop_
_atom_site_label
_atom_site_fract_x
_atom_site_fract_y
_atom_site_fract_z
_atom_site_occupancy
Nd1 0.0000 0.0000 0.0000 1
Nd2 0.1691 0.3382 0.2081 1
Sm1 0.0000 0.0000 0.3772 1
Er1 0.0000 0.0000 0.7506 1
Se1 0.0000 0.0000 0.1333 1
Se2 0.0000 0.0000 0.6225 1
Se3 0.0105 0.5052 0.1253 1
Se4 0.1789 0.3578 0.9570 1